Below is Li2AcPbCl8 after structural relaxation, with properties calculated at the PBE level.

- E_form (uncorrected) (kJ per mole of atoms) = -145.6
- M_tot (μB per cell) = 0.000

a = 6.4190 Å, b = 6.4190 Å, c = 8.8505 Å
α = 90.00°, β = 90.00°, γ = 120.00°
Positions (direct):
Li 0.3333 0.6667 0.2464
Li 0.6667 0.3333 0.7536
Ac 0.0000 0.0000 0.5000
Pb 0.0000 0.0000 0.0000
Cl 0.0181 0.7033 0.7826
Cl 0.2967 0.3149 0.7826
Cl 0.3149 0.0181 0.2174
Cl 0.3333 0.6667 0.5020
Cl 0.6667 0.3333 0.4980
Cl 0.6851 0.9819 0.7826
Cl 0.7033 0.6851 0.2174
Cl 0.9819 0.2967 0.2174